The following is a DFT calculation (GGA-PBE) of an optimized crystal structure of InNi.

D(E_F) = 1.26 states/eV/f.u.
V = 16.67 Å³/atom
Final energy = -16.67 eV per cell
Energy of formation = 0.09 eV per atom

Geometry as POSCAR:
```
InNi
1.0
2.9847 0.0000 0.0000
0.0000 4.9846 0.0000
0.0000 0.0000 4.4809
In Ni
2 2
direct
0.0000 0.0000 0.0575
0.5000 0.5000 0.7759
0.5000 0.0000 0.5421
0.0000 0.5000 0.2913
```



The following is a DFT calculation (GGA-PBE) of an optimized crystal structure of AcCdAu3.

Relative energy among the computed polymorphs = 4 meV/atom
D(E_F) = 2.23 states/eV/f.u.
V = 23.96 Å³/atom
Final energy = -70.46 eV per cell
Energy of formation = -0.55 eV per atom

Geometry as POSCAR:
```
AcCdAu3
1.0
5.1498 0.0000 0.0000
0.0000 9.6308 0.0000
0.0000 0.0000 9.6608
Ac Cd Au
4 4 12
direct
0.7500 0.7728 0.0047
0.2500 0.7272 0.5047
0.7500 0.2728 0.4953
0.2500 0.2272 0.9953
0.2500 0.0838 0.6462
0.2500 0.5838 0.8538
0.7500 0.4162 0.1462
0.7500 0.9162 0.3538
0.2500 0.6032 0.1454
0.7500 0.3968 0.8546
0.2500 0.1032 0.3546
0.7500 0.8968 0.6454
0.2500 0.3836 0.6540
0.7500 0.1164 0.1540
0.2500 0.8836 0.8460
0.7500 0.5986 0.6556
0.2500 0.4014 0.3444
0.7500 0.0986 0.8444
0.7500 0.6164 0.3460
0.2500 0.9014 0.1556
```



The following is a DFT calculation (GGA-PBE) of an optimized crystal structure of Ce2PtI.

Formation energy without anion corrections = -0.99 eV per atom
Relative energy among the computed polymorphs = 14 meV/atom
D(E_F) = 14.73 states/eV/f.u.
V = 30.85 Å³/atom
Final energy = -23.40 eV per cell

Geometry as POSCAR:
```
Ce2PtI
1.0
4.1944 0.0000 0.0000
2.0972 3.6325 0.0000
2.0972 1.2108 8.0998
Ce Pt I
2 1 1
direct
0.0642 0.0642 0.8073
0.2694 0.2694 0.1918
0.6673 0.6673 0.9981
0.4991 0.4991 0.5028
```



The following is a DFT calculation (GGA-PBE) of an optimized crystal structure of Rb2Na2SrF7.

Formation energy without anion corrections = -2.73 eV per atom
D(E_F) = 13.67 states/eV/f.u.
V = 17.13 Å³/atom
Final energy = -52.07 eV per cell

Geometry as POSCAR:
```
Rb2Na2SrF7
1.0
4.2406 0.0277 -0.0516
0.0328 4.2405 -0.0516
1.9378 1.9355 11.3846
Rb Na Sr F
2 2 1 7
direct
0.8075 0.8075 0.3673
0.1925 0.1925 0.6327
0.6135 0.6135 0.8022
0.3865 0.3865 0.1978
0.0000 0.0000 0.0000
0.5000 0.5000 0.0000
0.2937 0.2937 0.3919
0.7063 0.7063 0.6081
0.9074 0.4092 0.1452
0.4092 0.9074 0.1452
0.5908 0.0926 0.8548
0.0926 0.5908 0.8548
```



The following is a DFT calculation (GGA-PBE) of an optimized crystal structure of TbSmThN3.

Formation energy without anion corrections = -1.42 eV per atom
D(E_F) = 2.56 states/eV/f.u.
V = 16.50 Å³/atom
Final energy = -100.49 eV per cell

Geometry as POSCAR:
```
TbSmThN3
1.0
3.5561 0.0000 0.0000
0.0000 6.1319 0.3884
0.0000 -2.2926 8.9350
Tb Sm Th N
2 2 2 6
direct
0.2500 0.1551 0.6319
0.7500 0.8449 0.3681
0.7500 0.6649 0.6973
0.2500 0.3351 0.3027
0.2500 0.7647 0.0497
0.7500 0.2353 0.9503
0.2500 0.7575 0.5055
0.7500 0.0389 0.1541
0.7500 0.5412 0.1654
0.7500 0.2425 0.4945
0.2500 0.4588 0.8346
0.2500 0.9611 0.8459
```



The following is a DFT calculation (GGA-PBE) of an optimized crystal structure of TiTlTcPd2.

D(E_F) = 8.19 states/eV/f.u.
V = 23.31 Å³/atom
Final energy = -25.11 eV per cell
Energy of formation = 1.18 eV per atom

Geometry as POSCAR:
```
TiTlTcPd2
1.0
-1.1373 3.1906 3.3458
-4.9840 -1.0651 -0.6784
0.2721 -3.3933 3.3285
Tl Tc Pd Ti
1 1 2 1
direct
0.0000 0.5000 0.0000
0.0000 0.0000 0.0000
0.0000 0.0000 0.5000
0.5000 0.0000 0.0000
0.5000 0.5000 0.5000
```



The following is a DFT calculation (GGA-PBE) of an optimized crystal structure of BaLi2SeN.

Formation energy without anion corrections = -0.02 eV per atom
D(E_F) = 2.56 states/eV/f.u.
V = 23.06 Å³/atom
Final energy = -17.65 eV per cell

Geometry as POSCAR:
```
BaLi2SeN
1.0
-0.4960 2.6181 3.5266
4.0935 -3.1186 2.8909
3.1456 2.6887 -1.5536
Li Ba Se N
2 1 1 1
direct
0.0000 0.0000 0.5000
0.5000 0.0000 0.0000
0.5000 0.5000 0.5000
0.0000 0.0000 0.0000
0.0000 0.5000 0.0000
```



The following is a DFT calculation (GGA-PBE) of an optimized crystal structure of TaAl3Ir.

Relative energy among the computed polymorphs = 1030 meV/atom
D(E_F) = 3.57 states/eV/f.u.
V = 22.57 Å³/atom
Final energy = -24.40 eV per cell
Energy of formation = 1.51 eV per atom

Geometry as POSCAR:
```
TaAl3Ir
1.0
-0.8587 2.2760 -4.1758
-4.2598 1.5187 1.7038
2.1146 3.9835 1.7363
Ir Al Ta
1 3 1
direct
0.5000 0.5000 0.5000
0.0000 0.5000 0.0000
0.0000 0.0000 0.5000
0.5000 0.0000 0.0000
0.0000 0.0000 0.0000
```



The highest D(E_F) belongs to which entry? Ce2PtI



Which formula does entry 1 have? InNi



Among the records above, which one has the lowest final energy? TbSmThN3